Below is Er2Tm3Mg2 after structural relaxation, with properties calculated at the PBE level.

- Formation energy from the elements: 0.9 kcal/mol of atoms
- DOS at the Fermi energy: 0.889 states/eV/atom
- Crystal system: orthorhombic

Lattice parameters (Å, degrees): 5.204 3.414 11.608 90.00 77.05 90.00
Fractional positions:
Tm: 0.150 0.000 0.700
Tm: 0.000 0.000 0.000
Tm: 0.850 0.000 0.300
Mg: 0.569 0.500 0.862
Mg: 0.431 0.500 0.138
Er: 0.712 0.500 0.577
Er: 0.288 0.500 0.423